Here is a relaxed MnNi2H2 crystal from Alexandria. Energies are from PBE.

Properties
Calculated volume in Å³/cell: 41.78
Magnetization in Bohr magnetons per cell: 3.907
Calculated total energy in eV/atom: -5.444

a b c (Å): 2.7570 2.7565 6.3489
angles (deg): 90.04 90.00 120.01
Each line ends with the local moment (μB).
Fractional positions:
Ni 0.8333 0.1666 0.6828  0.21
Ni 0.1667 0.8334 0.3172  0.21
Mn 0.5000 0.5000 0.0000  3.39
H 0.1665 0.8330 0.6037  0.00
H 0.8335 0.1670 0.3963  0.00



Here is a relaxed EuGa4Bi crystal from Alexandria. Energies are from PBE.

Properties
ΔE_f in eV per atom: -0.227
Calculated volume in Å³/cell: 136.69
Magnetization in Bohr magnetons per cell: 7.411

a b c (Å): 5.7820 5.7820 5.7820
angles (deg): 60.00 60.00 60.00
Each line ends with the local moment (μB).
Fractional positions:
Bi 0.0000 0.0000 0.0000  0.01
Ga 0.1249 0.6250 0.6250  0.02
Ga 0.6250 0.6250 0.6250  0.02
Ga 0.6250 0.1249 0.6250  0.02
Ga 0.6250 0.6250 0.1249  0.02
Eu 0.2500 0.2500 0.2500  6.87



Here is a relaxed KNa3Cu crystal from Alexandria. Energies are from PBE.

Properties
ΔE_f in eV per atom: 0.189
Calculated volume in Å³/cell: 188.54
Magnetization in Bohr magnetons per cell: 0.000

a b c (Å): 5.7341 5.7341 5.7341
angles (deg): 90.00 90.00 90.00
Fractional positions:
Na 0.0000 0.0000 0.5000
Na 0.5000 0.0000 0.0000
Na 0.0000 0.5000 0.0000
K 0.5000 0.5000 0.5000
Cu 0.0000 0.0000 0.0000



Here is a relaxed La4As2Pb crystal from Alexandria. Energies are from PBE.

Properties
ΔE_f in eV per atom: -1.087
Calculated volume in Å³/cell: 466.41
Magnetization in Bohr magnetons per cell: 1.827

a b c (Å): 4.4473 7.4076 14.8423
angles (deg): 90.00 90.00 107.47
Each line ends with the local moment (μB).
Fractional positions:
As 0.8640 0.7280 0.5605  0.00
As 0.8640 0.7280 0.9395  0.00
As 0.1360 0.2720 0.4395  0.00
As 0.1360 0.2720 0.0605  0.00
La 0.5000 0.0000 0.5000  0.02
La 0.7699 0.5399 0.1185  0.08
La 0.2301 0.4601 0.8815  0.08
La 0.9395 0.8790 0.7500  0.13
La 0.2301 0.4601 0.6185  0.08
La 0.7699 0.5399 0.3815  0.08
La 0.5000 0.0000 0.0000  0.02
La 0.0605 0.1210 0.2500  0.13
Pb 0.6087 0.2175 0.7500  -0.01
Pb 0.3913 0.7825 0.2500  -0.01